Entry 1:
{
  "formula": "TbCo2RuO8",
  "functional": "GGA+U",
  "state": "relaxed",
  "dos_ef_per_ev_fu": 5.133,
  "spacegroup": "No. 119",
  "lattice": [[-3.350, 4.283, 1.813], [-0.010, -4.516, 3.529], [5.370, 1.986, -0.268]],
  "species": ["O", "O", "O", "O", "O", "O", "O", "O", "Co", "Co", "Tb", "Ru"],
  "frac_coords": [[0.309, 0.512, 0.203], [0.696, 0.033, 0.664], [0.488, 0.691, 0.797], [0.895, 0.691, 0.203], [0.369, 0.033, 0.336], [0.309, 0.105, 0.797], [0.967, 0.631, 0.664], [0.967, 0.304, 0.336], [0.750, 0.250, 0.500], [0.500, 0.500, 0.000], [0.000, 0.000, 0.000], [0.250, 0.750, 0.500]]
}

Entry 2:
{
  "formula": "CoTeRuO6",
  "functional": "GGA+U",
  "state": "relaxed",
  "dos_ef_per_ev_fu": 2.878,
  "spacegroup": "No. 163",
  "lattice": [[-1.715, 3.789, -3.003], [-1.877, -4.744, -0.532], [-6.227, 1.809, 5.839]],
  "species": ["Te", "Te", "Co", "Co", "O", "O", "O", "O", "O", "O", "O", "O", "O", "O", "O", "O", "Ru", "Ru"],
  "frac_coords": [[0.667, 0.333, 0.250], [0.333, 0.667, 0.750], [0.667, 0.333, 0.750], [0.333, 0.667, 0.250], [0.663, 0.673, 0.627], [0.337, 0.327, 0.373], [0.337, 0.010, 0.127], [0.010, 0.337, 0.627], [0.990, 0.327, 0.127], [0.327, 0.337, 0.873], [0.990, 0.663, 0.373], [0.010, 0.673, 0.873], [0.327, 0.990, 0.627], [0.663, 0.990, 0.873], [0.673, 0.010, 0.373], [0.673, 0.663, 0.127], [0.000, 0.000, 0.500], [0.000, 0.000, 0.000]]
}

Entry 3:
{
  "formula": "Tl3Co2RuO6",
  "functional": "GGA+U",
  "state": "relaxed",
  "dos_ef_per_ev_fu": 5.832,
  "spacegroup": "No. 12",
  "lattice": [[5.292, -0.037, -0.239], [-2.677, 4.565, -0.239], [-1.178, -2.040, 6.984]],
  "species": ["O", "O", "O", "O", "O", "O", "Tl", "Tl", "Tl", "Co", "Co", "Ru"],
  "frac_coords": [[0.742, 0.742, 0.141], [0.077, 0.423, 0.142], [0.923, 0.577, 0.858], [0.423, 0.077, 0.142], [0.577, 0.923, 0.858], [0.258, 0.258, 0.859], [0.500, 0.500, 0.500], [0.833, 0.167, 0.500], [0.167, 0.833, 0.500], [0.667, 0.333, 0.000], [0.333, 0.667, 0.000], [0.000, 0.000, 0.000]]
}

Number 1: total DFT energy (no corrections) -6.42 eV per atom. Number 2: total DFT energy (no corrections) -6.14 eV per atom. Number 3: total DFT energy (no corrections) -5.35 eV per atom.